Below is a relaxed structure of Pm2ThHg, with properties calculated at the PBE level.

Calculated values
calculated formation energy: -0.24 eV per atom
symmetry: P4/mmm (123)
raw total energy: -4.549 eV per atom
polymorph energy (0 for the lowest one): 0.0 kJ/mol of formula units

Cell lengths 3.6689, 3.6689, 8.9516 Å; angles 90.00, 90.00, 90.00 degrees
Last column: nearest neighbours and their distance in Å.
Element x y z (fractional)
Pm (0.0000, 0.0000, 0.2299)  4 Hg 3.31, 4 Th 3.55, 4 Pm 3.67
Th (0.5000, 0.5000, 0.5000)  8 Pm 3.55, 4 Th 3.67
Pm (0.0000, 0.0000, 0.7701)  4 Hg 3.31, 4 Th 3.55, 4 Pm 3.67
Hg (0.5000, 0.5000, 0.0000)  8 Pm 3.31, 4 Hg 3.67